The following is a DFT calculation (PBE+U) of a relaxed FeOsF6 crystal.

Properties
The symmetry is P-31c (163). The raw total energy is -5.409 eV/atom. Its density of states at the Fermi level is 13.3 states/eV per cell.

Cell: 5.1598 5.1598 9.5191 Å, 90.00 90.00 120.00°
Fractional coordinates of all 16 atoms:
1 Fe 0.3333 0.6667 0.2500
2 Fe 0.6667 0.3333 0.7500
3 Os 0.0000 0.0000 0.0000
4 Os 0.0000 0.0000 0.5000
5 F 0.0212 0.3198 0.1220
6 F 0.0212 0.7014 0.3780
7 F 0.2986 0.3198 0.3780
8 F 0.2986 0.9788 0.1220
9 F 0.3198 0.0212 0.6220
10 F 0.3198 0.2986 0.8780
11 F 0.6802 0.7014 0.1220
12 F 0.6802 0.9788 0.3780
13 F 0.7014 0.0212 0.8780
14 F 0.7014 0.6802 0.6220
15 F 0.9788 0.2986 0.6220
16 F 0.9788 0.6802 0.8780